# 1
First-principles (PBE-GGA) data for crystalline YSn2Ru at its relaxed geometry, as listed in Alexandria via LeMat-Bulk.

Unit cell a=4.2464 b=4.2464 c=20.9073 alpha=90.00 beta=90.00 gamma=90.00
With the nearest neighbours (Å) after each atom.
Space group I-42d (No. 122)
Symmetry-distinct sites (fractional):
Y (0.0000, 0.0000, 0.0000) x4  4 Ru 3.00, 4 Sn 3.04
Sn (0.2322, 0.2500, 0.6250) x8  4 Sn 2.90-3.11, 2 Ru 2.99, 2 Y 3.04
Ru (0.0000, 0.0000, 0.5000) x4  4 Sn 2.99, 4 Y 3.00

# 2
First-principles (PBE-GGA) data for crystalline YSn3Ru at its relaxed geometry, as listed in Alexandria via LeMat-Bulk.

Unit cell a=12.9019 b=12.2001 c=6.3185 alpha=90.00 beta=101.24 gamma=90.00
With the nearest neighbours (Å) after each atom.
Space group C2/c (No. 15)
Symmetry-distinct sites (fractional):
Y (0.1688, 0.1096, 0.0897) x8  2 Ru 2.84-3.12, 1 Sn 3.17
Sn (0.0900, 0.3511, 0.9287) x8  1 Ru 2.72, 1 Sn 2.91
Sn (0.1028, 0.1472, 0.5756) x8  3 Ru 2.67-2.76
Sn (0.1564, 0.4057, 0.4288) x8  1 Ru 2.70
Ru (0.0000, 0.0121, 0.2500) x4  4 Sn 2.71-2.76, 2 Y 2.84
Ru (0.0000, 0.2684, 0.2500) x4  6 Sn 2.67-2.72

# 3
First-principles (PBE-GGA) data for crystalline YSnRu2 at its relaxed geometry, as listed in Alexandria via LeMat-Bulk.

Unit cell a=2.9890 b=5.0752 c=10.7924 alpha=90.00 beta=90.00 gamma=90.00
With the nearest neighbours (Å) after each atom.
Space group Immm (No. 71)
Symmetry-distinct sites (fractional):
Y (0.0000, 0.0000, 0.0000) x2  2 Ru 2.82, 4 Sn 2.94, 2 Y 2.99
Sn (0.0000, 0.0000, 0.5000) x2  2 Ru 2.57
Ru (0.0000, 0.0000, 0.2617) x4  1 Sn 2.57, 1 Y 2.82

| no. | ΔH_f (0 K) (meV/atom) |
| --- | --- |
| 1 | 3 |
| 2 | -351 |
| 3 | 673 |